(1)
The following is a DFT calculation (meta-GGA SCAN) of a crystal of SrZrAg relaxed with PBEsol.

Its formation energy is 557.5 meV per atom. For the total energy, the calculation gives -330.675 eV per cell. The value obtained for the density of states at the Fermi level is 14.7 states/eV/cell.

Cell lengths 7.0213, 7.0213, 7.0213 Å; angles 90.00, 90.00, 90.00 degrees
Closest atoms and distances in Å follow each position.
Space group F-43m (No. 216)
Unique sites:
Sr (0.0000, 0.0000, 0.0000) [4 per cell]  4 Ag 3.04
Zr (0.0000, 0.0000, 0.5000) [4 per cell]  4 Ag 3.04
Ag (0.2500, 0.2500, 0.7500) [4 per cell]  4 Zr 3.04, 4 Sr 3.04

=====

(2)
The following is a DFT calculation (meta-GGA SCAN) of a crystal of ReTeW2 relaxed with PBEsol.

The value obtained for the formation energy from raw total energies is 2.04 eV/f.u. For the total energy, the calculation gives -245.688 eV per cell. The value obtained for the density of states at the Fermi level is 2.0 states/eV/cell.

Cell lengths 3.1424, 3.1424, 6.7800 Å; angles 90.00, 90.00, 90.00 degrees
Closest atoms and distances in Å follow each position.
Space group P4mm (No. 99)
Unique sites:
Re (0.0000, 0.0000, 0.0000) [1 per cell]  4 W 2.68, 4 Te 2.91
Te (0.5000, 0.5000, 0.2779) [1 per cell]  4 W 2.85, 4 Re 2.91, 4 Te 3.14
W (0.0000, 0.0000, 0.5403) [1 per cell]  4 W 2.75, 4 Te 2.85
W (0.5000, 0.5000, 0.7791) [1 per cell]  4 Re 2.68, 4 W 2.75

=====

(3)
The following is a DFT calculation (meta-GGA SCAN) of a crystal of HgPb5 relaxed with PBEsol.

Its formation energy is 32.1 meV per atom. For the total energy, the calculation gives -446.879 eV per cell. The value obtained for the density of states at the Fermi level is 3.5 states/eV/cell.

Cell lengths 5.9096, 5.9096, 5.6792 Å; angles 90.00, 90.00, 120.00 degrees
Closest atoms and distances in Å follow each position.
Space group P-62m (No. 189)
Unique sites:
Hg (0.0000, 0.0000, 0.0000) [1 per cell]  12 Pb 3.41-3.45
Pb (0.0000, 0.3309, 0.5000) [3 per cell]  10 Pb 3.39-3.46, 2 Hg 3.45
Pb (0.3333, 0.6667, 0.0000) [2 per cell]  3 Hg 3.41, 9 Pb 3.41-3.46

=====

(4)
The following is a DFT calculation (meta-GGA SCAN) of a crystal of CsUAgSe3 relaxed with PBEsol.

The value obtained for the formation energy from raw total energies is -6.87 eV/f.u. For the total energy, the calculation gives -959.241 eV per cell. The value obtained for the density of states at the Fermi level is 11.7 states/eV/cell.

Cell lengths 4.1568, 15.6703, 10.6443 Å; angles 90.00, 90.00, 90.00 degrees
Closest atoms and distances in Å follow each position.
Space group Cmcm (No. 63)
Unique sites:
Cs (0.0000, 0.2451, 0.2500) [4 per cell]  8 Se 3.56-3.72, 2 Ag 3.95
U (0.0000, 0.5000, 0.0000) [4 per cell]  6 Se 2.83
Ag (0.0000, 0.0408, 0.7500) [4 per cell]  4 Se 2.57-2.62
Se (0.0000, 0.1199, 0.5388) [8 per cell]  1 Ag 2.57, 2 U 2.83
Se (0.0000, 0.4393, 0.7500) [4 per cell]  2 Ag 2.62, 2 U 2.83

=====

(5)
The following is a DFT calculation (meta-GGA SCAN) of a crystal of BaGeSb2Te relaxed with PBEsol.

The value obtained for the formation energy from raw total energies is -1.18 eV/f.u. For the total energy, the calculation gives -171.589 eV per cell. The value obtained for the density of states at the Fermi level is 4.8 states/eV/cell.

Cell lengths 5.3547, 5.3547, 5.6125 Å; angles 90.00, 90.00, 90.00 degrees
Closest atoms and distances in Å follow each position.
Space group P4/mmm (No. 123)
Unique sites:
Ba (0.0000, 0.0000, 0.0000) [1 per cell]  4 Te 3.79, 8 Sb 3.88
Ge (0.5000, 0.5000, 0.5000) [1 per cell]  4 Sb 2.68, 2 Te 2.81
Sb (0.0000, 0.5000, 0.5000) [2 per cell]  2 Ge 2.68
Te (0.5000, 0.5000, 0.0000) [1 per cell]  2 Ge 2.81

=====

(6)
The following is a DFT calculation (meta-GGA SCAN) of a crystal of RbCaPb2Cl relaxed with PBEsol.

The value obtained for the formation energy from raw total energies is -0.02 eV/f.u. For the total energy, the calculation gives -189.965 eV per cell. The value obtained for the density of states at the Fermi level is 5.9 states/eV/cell.

Cell lengths 5.7459, 5.7459, 8.5325 Å; angles 90.00, 90.00, 90.00 degrees
Closest atoms and distances in Å follow each position.
Space group P4/mmm (No. 123)
Unique sites:
Rb (0.0000, 0.0000, 0.0000) [1 per cell]  4 Cl 4.06, 2 Ca 4.27
Ca (0.0000, 0.0000, 0.5000) [1 per cell]  4 Pb 2.87
Pb (0.0000, 0.5000, 0.5000) [2 per cell]  2 Ca 2.87
Cl (0.5000, 0.5000, 0.0000) [1 per cell]  4 Rb 4.06

=====

(7)
The following is a DFT calculation (meta-GGA SCAN) of a crystal of Na4Ga4Si19 relaxed with PBEsol.

The value obtained for the formation energy from raw total energies is -0.61 eV/f.u. For the total energy, the calculation gives -546.310 eV per cell.

Cell lengths 10.3020, 10.3262, 10.3335 Å; angles 89.96, 89.87, 89.81 degrees
Closest atoms and distances in Å follow each position.
Space group P1 (No. 1)
Unique sites:
Na (0.0000, 0.0000, 0.0000) [1 per cell]  3 Ga 3.28-3.61, 9 Si 3.33-3.65
Na (0.0022, 0.0183, 0.5196) [1 per cell]  2 Ga 3.23-3.61, 8 Si 3.38-3.60
Na (0.0237, 0.4986, 0.2534) [1 per cell]  18 Si 3.24-3.42, 2 Ga 3.36-3.40
Na (0.2691, 0.4756, 0.7658) [1 per cell]  11 Si 3.34-3.72, 3 Ga 3.34-3.60
Na (0.5094, 0.7448, 0.2786) [1 per cell]  2 Ga 3.29-3.33, 10 Si 3.44-3.65
Na (0.5215, 0.2518, 0.2630) [1 per cell]  4 Ga 3.42-3.68, 14 Si 3.45-3.81
Na (0.5240, 0.0062, 0.7512) [1 per cell]  17 Si 3.22-3.46, 3 Ga 3.33-3.40
Na (0.7647, 0.4781, 0.7709) [1 per cell]  9 Si 3.28-3.67, 3 Ga 3.34-3.51
Ga (0.0179, 0.3837, 0.9492) [1 per cell]  4 Si 2.43-2.44
Ga (0.0193, 0.7487, 0.7581) [1 per cell]  4 Si 2.41-2.45
Ga (0.3302, 0.4993, 0.3749) [1 per cell]  4 Si 2.43-2.44
Ga (0.4023, 0.9996, 0.4455) [1 per cell]  4 Si 2.43-2.45
Ga (0.5197, 0.5001, 0.0072) [1 per cell]  4 Si 2.42-2.45
Ga (0.5208, 0.3092, 0.6408) [1 per cell]  4 Si 2.43-2.45
Ga (0.7737, 0.9985, 0.2563) [1 per cell]  4 Si 2.42-2.45
Ga (0.8284, 0.1174, 0.7604) [1 per cell]  4 Si 2.43-2.45
Si (0.0197, 0.3792, 0.5611) [1 per cell]  4 Si 2.37-2.42
Si (0.0205, 0.6131, 0.5640) [1 per cell]  3 Si 2.36-2.42, 1 Ga 2.45
Si (0.0200, 0.6196, 0.9531) [1 per cell]  2 Si 2.36, 2 Ga 2.41-2.44
Si (0.0230, 0.2515, 0.7550) [1 per cell]  2 Si 2.40, 2 Ga 2.43-2.44
Si (0.1380, 0.1929, 0.2551) [1 per cell]  4 Si 2.37-2.40
Si (0.1390, 0.8052, 0.2585) [1 per cell]  4 Si 2.38-2.39
Si (0.2035, 0.3115, 0.4405) [1 per cell]  3 Si 2.32-2.38, 1 Ga 2.44
Si (0.2027, 0.6847, 0.4446) [1 per cell]  3 Si 2.34-2.38, 1 Ga 2.43
Si (0.2040, 0.6829, 0.0733) [1 per cell]  4 Si 2.36-2.39
Si (0.2064, 0.3167, 0.0738) [1 per cell]  3 Si 2.35-2.37, 1 Ga 2.43
Si (0.2131, 0.8858, 0.7580) [1 per cell]  3 Si 2.37-2.41, 1 Ga 2.45
Si (0.2147, 0.1194, 0.7584) [1 per cell]  4 Si 2.36-2.41
Si (0.2659, 0.9987, 0.2525) [1 per cell]  3 Si 2.39-2.40, 1 Ga 2.44
Si (0.3260, 0.4999, 0.1397) [1 per cell]  2 Si 2.36-2.37, 2 Ga 2.42-2.43
Si (0.3333, 0.1842, 0.5737) [1 per cell]  2 Si 2.32-2.36, 2 Ga 2.43
Si (0.3330, 0.8161, 0.5751) [1 per cell]  3 Si 2.34-2.38, 1 Ga 2.43
Si (0.3355, 0.8144, 0.9385) [1 per cell]  4 Si 2.37-2.38
Si (0.3375, 0.1831, 0.9435) [1 per cell]  4 Si 2.35-2.39
Si (0.3991, 0.9963, 0.0625) [1 per cell]  4 Si 2.37-2.41
Si (0.5204, 0.3043, 0.8775) [1 per cell]  2 Si 2.36, 2 Ga 2.43-2.45
Si (0.5197, 0.6934, 0.8701) [1 per cell]  3 Si 2.37-2.40, 1 Ga 2.45
Si (0.5199, 0.6959, 0.6374) [1 per cell]  4 Si 2.38-2.40
Si (0.5250, 0.5043, 0.5082) [1 per cell]  2 Si 2.39, 2 Ga 2.44
Si (0.6330, 0.9957, 0.0656) [1 per cell]  3 Si 2.36-2.41, 1 Ga 2.45
Si (0.6396, 0.9996, 0.4487) [1 per cell]  2 Si 2.36-2.37, 2 Ga 2.42-2.45
Si (0.6997, 0.1813, 0.9493) [1 per cell]  3 Si 2.35-2.36, 1 Ga 2.45
Si (0.7013, 0.8146, 0.9402) [1 per cell]  4 Si 2.37-2.39
Si (0.7050, 0.8180, 0.5737) [1 per cell]  4 Si 2.36-2.38
Si (0.7066, 0.1815, 0.5693) [1 per cell]  2 Si 2.34-2.36, 2 Ga 2.43
Si (0.7130, 0.5034, 0.1450) [1 per cell]  3 Si 2.37-2.40, 1 Ga 2.45
Si (0.7162, 0.5026, 0.3776) [1 per cell]  4 Si 2.37-2.40
Si (0.8244, 0.8807, 0.7583) [1 per cell]  2 Si 2.36-2.37, 2 Ga 2.42-2.44
Si (0.8300, 0.3181, 0.0763) [1 per cell]  3 Si 2.35-2.37, 1 Ga 2.43
Si (0.8360, 0.3141, 0.4385) [1 per cell]  4 Si 2.34-2.39
Si (0.8369, 0.6845, 0.0754) [1 per cell]  4 Si 2.36-2.39
Si (0.8394, 0.6845, 0.4427) [1 per cell]  4 Si 2.37-2.38
Si (0.9049, 0.1950, 0.2542) [1 per cell]  3 Si 2.36-2.40, 1 Ga 2.44
Si (0.9069, 0.8039, 0.2580) [1 per cell]  3 Si 2.37-2.39, 1 Ga 2.43

=====

(8)
The following is a DFT calculation (meta-GGA SCAN) of a crystal of OsPdC3 relaxed with PBEsol.

Its formation energy is 1950.7 meV per atom. For the total energy, the calculation gives -125.200 eV per cell. The value obtained for the density of states at the Fermi level is 1.6 states/eV/cell.

Cell lengths 3.9416, 3.9416, 3.9416 Å; angles 90.00, 90.00, 90.00 degrees
Closest atoms and distances in Å follow each position.
Space group Pm-3m (No. 221)
Unique sites:
Os (0.0000, 0.0000, 0.0000) [1 per cell]  6 C 1.97
Pd (0.5000, 0.5000, 0.5000) [1 per cell]  12 C 2.79
C (0.0000, 0.0000, 0.5000) [3 per cell]  2 Os 1.97